1.
A relaxed structure of SrSc2Ni, computed with PBE.

Cell: 3.7269 3.5859 8.2235 Å, 90.00 103.02 90.00°
Atoms (fractional coordinates):
1 Sr 0.0000 0.0000 0.0000
2 Sc 0.2995 0.0000 0.6031
3 Sc 0.6747 0.5000 0.3523
4 Ni 0.8319 0.5000 0.6682

The energy above the most stable polymorph in this dataset comes out at 0.11 eV/f.u. Its energy of formation from the pure elements is -1.3 kJ/mol of atoms. The value obtained for the total energy is -5.045 eV/atom.

2.
A relaxed structure of Tl3Cu2Br2F4, computed with PBE.

Cell: 12.9937 12.9937 12.9937 Å, 160.98 160.98 27.02°
Atoms (fractional coordinates):
1 Tl 0.0000 0.0000 0.0000
2 Tl 0.1599 0.1599 0.0000
3 Tl 0.8401 0.8401 0.0000
4 Cu 0.4111 0.4111 0.0000
5 Cu 0.5889 0.5889 0.0000
6 Br 0.3071 0.3071 0.0000
7 Br 0.6929 0.6929 0.0000
8 F 0.0760 0.5760 0.5000
9 F 0.4240 0.9240 0.5000
10 F 0.5760 0.0760 0.5000
11 F 0.9240 0.4240 0.5000

The value obtained for the total energy is -3.569 eV/atom.

3.
A relaxed structure of AlAgMo2, computed with PBE.

Cell: 4.8256 4.8256 2.7565 Å, 90.00 90.00 90.00°
Atoms (fractional coordinates):
1 Al 0.0000 0.0000 0.0000
2 Ag 0.5000 0.5000 0.0000
3 Mo 0.0000 0.5000 0.5000
4 Mo 0.5000 0.0000 0.5000

Its energy of formation from the pure elements is 36.1 kJ/mol of atoms. The value obtained for the total energy is -6.690 eV/atom.

4.
A relaxed structure of KInCu, computed with PBE.

Cell: 5.3421 5.3421 5.3421 Å, 60.00 60.00 60.00°
Atoms (fractional coordinates):
1 K 0.0000 0.0000 0.0000
2 In 0.7500 0.7500 0.7500
3 Cu 0.2500 0.2500 0.2500

Its energy of formation from the pure elements is 71.1 kJ/mol of atoms. The value obtained for the total energy is -1.907 eV/atom.

5.
A relaxed structure of Ba2HgBi, computed with PBE.

Cell: 5.8238 5.8238 4.6345 Å, 90.00 90.00 90.00°
Atoms (fractional coordinates):
1 Ba 0.0000 0.5000 0.0000
2 Ba 0.5000 0.0000 0.0000
3 Hg 0.0000 0.0000 0.5000
4 Bi 0.5000 0.5000 0.5000

The energy above the most stable polymorph in this dataset comes out at 0.00 eV/f.u. Its energy of formation from the pure elements is -71.5 kJ/mol of atoms. The value obtained for the total energy is -2.748 eV/atom.

6.
A relaxed structure of BaLiGaPt3, computed with PBE.

Cell: 6.8538 6.8538 5.9350 Å, 90.00 90.00 121.36°
Atoms (fractional coordinates):
1 Ba 0.2209 0.7791 0.7500
2 Ba 0.7791 0.2209 0.2500
3 Li 0.4543 0.5457 0.7500
4 Li 0.5457 0.4543 0.2500
5 Ga 0.1256 0.8744 0.2500
6 Ga 0.8744 0.1256 0.7500
7 Pt 0.2187 0.2187 0.0000
8 Pt 0.2187 0.2187 0.5000
9 Pt 0.3351 0.6649 0.2500
10 Pt 0.6649 0.3351 0.7500
11 Pt 0.7813 0.7813 0.0000
12 Pt 0.7813 0.7813 0.5000

Its energy of formation from the pure elements is -50.5 kJ/mol of atoms. The value obtained for the total energy is -4.688 eV/atom.

7.
A relaxed structure of Pm2AlSi3Ni4, computed with PBE.

Cell: 4.0458 4.0458 9.6748 Å, 90.00 90.00 90.00°
Atoms (fractional coordinates):
1 Pm 0.0000 0.5000 0.2460
2 Pm 0.5000 0.0000 0.7540
3 Al 0.0000 0.0000 0.5000
4 Si 0.0000 0.5000 0.8764
5 Si 0.5000 0.0000 0.1236
6 Si 0.5000 0.5000 0.5000
7 Ni 0.0000 0.0000 0.0000
8 Ni 0.0000 0.5000 0.6343
9 Ni 0.5000 0.0000 0.3657
10 Ni 0.5000 0.5000 0.0000

The value obtained for the total energy is -6.049 eV/atom.

8.
A relaxed structure of Pr2TcGe2, computed with PBE.

Cell: 7.7218 7.7218 7.7218 Å, 129.88 71.64 132.36°
Atoms (fractional coordinates):
1 Pr 0.1421 0.1990 0.3411
2 Pr 0.3579 0.6990 0.0569
3 Pr 0.6421 0.3010 0.9431
4 Pr 0.8579 0.8010 0.6589
5 Tc 0.2500 0.7500 0.5000
6 Tc 0.7500 0.2500 0.5000
7 Ge 0.1050 0.7235 0.8285
8 Ge 0.3950 0.2235 0.6185
9 Ge 0.6050 0.7765 0.3815
10 Ge 0.8950 0.2765 0.1715

Its energy of formation from the pure elements is -48.7 kJ/mol of atoms. The value obtained for the total energy is -6.336 eV/atom.

9.
A relaxed structure of Ca2InPb9, computed with PBE.

Cell: 4.9017 4.9017 15.1991 Å, 90.00 90.00 90.00°
Atoms (fractional coordinates):
1 Ca 0.0000 0.0000 0.1596
2 Ca 0.0000 0.0000 0.8404
3 In 0.0000 0.0000 0.5000
4 Pb 0.0000 0.5000 0.0000
5 Pb 0.0000 0.5000 0.3326
6 Pb 0.0000 0.5000 0.6674
7 Pb 0.5000 0.0000 0.0000
8 Pb 0.5000 0.0000 0.3326
9 Pb 0.5000 0.0000 0.6674
10 Pb 0.5000 0.5000 0.1674
11 Pb 0.5000 0.5000 0.5000
12 Pb 0.5000 0.5000 0.8326

Its energy of formation from the pure elements is -18.4 kJ/mol of atoms. The value obtained for the total energy is -3.534 eV/atom.

10.
A relaxed structure of Sr2Au, computed with PBE.

Cell: 7.7832 7.7832 7.7832 Å, 90.00 90.00 90.00°
Atoms (fractional coordinates):
1 Sr 0.1600 0.1600 0.1600
2 Sr 0.1600 0.3400 0.6600
3 Sr 0.3400 0.6600 0.1600
4 Sr 0.3400 0.8400 0.6600
5 Sr 0.6600 0.1600 0.3400
6 Sr 0.6600 0.3400 0.8400
7 Sr 0.8400 0.6600 0.3400
8 Sr 0.8400 0.8400 0.8400
9 Au 0.0000 0.0000 0.5000
10 Au 0.0000 0.5000 0.0000
11 Au 0.5000 0.0000 0.0000
12 Au 0.5000 0.5000 0.5000

Its energy of formation from the pure elements is -52.7 kJ/mol of atoms. The value obtained for the total energy is -2.760 eV/atom.

11.
A relaxed structure of Ce4ErTh3S8, computed with PBE.

Cell: 8.0116 8.0116 8.0116 Å, 60.23 60.23 60.23°
Atoms (fractional coordinates):
1 Ce 0.0000 0.0000 0.0000
2 Ce 0.0000 0.5000 0.5000
3 Ce 0.5000 0.0000 0.5000
4 Ce 0.5000 0.5000 0.0000
5 Er 0.5000 0.5000 0.5000
6 Th 0.0000 0.0000 0.5000
7 Th 0.0000 0.5000 0.0000
8 Th 0.5000 0.0000 0.0000
9 S 0.2511 0.2511 0.2511
10 S 0.2559 0.2559 0.7423
11 S 0.2559 0.7423 0.2559
12 S 0.2577 0.7441 0.7441
13 S 0.7423 0.2559 0.2559
14 S 0.7441 0.2577 0.7441
15 S 0.7441 0.7441 0.2577
16 S 0.7489 0.7489 0.7489

The value obtained for the total energy is -7.184 eV/atom.

12.
A relaxed structure of NbHOs, computed with PBE.

Cell: 5.3708 5.3708 4.8916 Å, 104.09 104.09 31.00°
Atoms (fractional coordinates):
1 Nb 0.0000 0.0000 0.0000
2 Nb 0.1991 0.1991 0.6341
3 H 0.3949 0.3949 0.7771
4 H 0.6015 0.6015 0.3177
5 Os 0.4449 0.4449 0.4556
6 Os 0.7503 0.7503 0.1459

The energy above the most stable polymorph in this dataset comes out at 0.08 eV/f.u. The value obtained for the total energy is -8.307 eV/atom.

- What is the formula in the sixth record?
  BaLiGaPt3

Copy entry 6 word for word.
A relaxed structure of BaLiGaPt3, computed with PBE.

Cell: 6.8538 6.8538 5.9350 Å, 90.00 90.00 121.36°
Atoms (fractional coordinates):
1 Ba 0.2209 0.7791 0.7500
2 Ba 0.7791 0.2209 0.2500
3 Li 0.4543 0.5457 0.7500
4 Li 0.5457 0.4543 0.2500
5 Ga 0.1256 0.8744 0.2500
6 Ga 0.8744 0.1256 0.7500
7 Pt 0.2187 0.2187 0.0000
8 Pt 0.2187 0.2187 0.5000
9 Pt 0.3351 0.6649 0.2500
10 Pt 0.6649 0.3351 0.7500
11 Pt 0.7813 0.7813 0.0000
12 Pt 0.7813 0.7813 0.5000

Its energy of formation from the pure elements is -50.5 kJ/mol of atoms. The value obtained for the total energy is -4.688 eV/atom.